A geometry-optimized BaMnSi2 structure. Source: Alexandria via LeMat-Bulk, functional PBE.

Structure (POSCAR):
```
BaMnSi2
1.0
-2.8715 3.1466 -1.1597
-3.4654 -4.5532 -3.7738
-7.4486 -2.9602 10.4116
Ba Mn Si
4 4 8
direct
0.7500 0.2497 0.5959
0.2500 0.2503 0.0959
0.2500 0.7503 0.4041
0.7500 0.7497 0.9041
0.2500 0.2494 0.8482
0.7500 0.7506 0.1518
0.2500 0.7494 0.6518
0.7500 0.2506 0.3482
0.2500 0.4995 0.7501
0.7500 0.2494 0.8690
0.2500 0.7506 0.1310
0.7500 0.0005 0.2501
0.2500 0.2506 0.3690
0.2500 0.9995 0.7499
0.7500 0.5005 0.2499
0.7500 0.7494 0.6310
```

Calculated values
Formation energy (no corrections) in eV per atom: -0.153
E in Ry/atom: -0.41435
Space group: No. 62